Record 1
DFT (PBE-GGA) results for a relaxed CdTe2O5 crystal.

Computed properties:
Space-group type: P2_1/c (14)
Energy above the lowest structure with this stoichiometry, eV/atom: 0.0000
Raw total energy, eV/atom: -5.075
ρ, kg/m3: 5821

Lattice parameters (Å, degrees): 9.3796 5.5287 10.8400 90.00 114.69 90.00
Last column: nearest neighbours and their distance in Å.
Positions (direct):
Cd  0.5171  0.7054  0.1365  5 O 2.25-2.40
Cd  0.4829  0.2054  0.3635  5 O 2.25-2.40
Cd  0.5171  0.7946  0.6365  5 O 2.25-2.40
Cd  0.4829  0.2946  0.8635  5 O 2.25-2.40
O  0.6261  0.3649  0.0854  1 Te 1.87
O  0.9818  0.1046  0.0989  1 Te 1.94
O  0.7273  0.8957  0.1022  2 Te 2.01-2.02
O  0.2953  0.9675  0.1527  1 Te 1.90
O  0.3571  0.4946  0.2063  1 Te 1.91
O  0.6429  0.9946  0.2937  1 Te 1.91
O  0.7047  0.4675  0.3473  1 Te 1.90
O  0.2727  0.3957  0.3978  2 Te 2.01-2.02
O  0.0182  0.6046  0.4011  1 Te 1.94
O  0.3739  0.8649  0.4146  1 Te 1.87
O  0.6261  0.1351  0.5854  1 Te 1.87
O  0.9818  0.3954  0.5989  1 Te 1.94
O  0.7273  0.6043  0.6022  2 Te 2.01-2.02
O  0.2953  0.5325  0.6527  1 Te 1.90
O  0.3571  0.0054  0.7063  1 Te 1.91
O  0.6429  0.5054  0.7937  1 Te 1.91
O  0.7047  0.0325  0.8473  1 Te 1.90
O  0.2727  0.1043  0.8978  2 Te 2.01-2.02
O  0.0182  0.8954  0.9011  1 Te 1.94
O  0.3739  0.6351  0.9146  1 Te 1.87
Te  0.1492  0.1575  0.0091  3 O 1.90-2.01
Te  0.7691  0.1820  0.2289  3 O 1.87-2.02
Te  0.2309  0.6820  0.2711  3 O 1.87-2.02
Te  0.8508  0.6575  0.4909  3 O 1.90-2.01
Te  0.1492  0.3425  0.5091  3 O 1.90-2.01
Te  0.7691  0.3180  0.7289  3 O 1.87-2.02
Te  0.2309  0.8180  0.7711  3 O 1.87-2.02
Te  0.8508  0.8425  0.9909  3 O 1.90-2.01



Record 2
DFT (PBE-GGA) results for a relaxed TbGd2Sn3Pb4 crystal.

Computed properties:
Space-group type: Cmmm (65)
Energy above the lowest structure with this stoichiometry, eV/atom: 0.0085
Raw total energy, eV/atom: -4.511
ρ, kg/m3: 9857

Lattice parameters (Å, degrees): 13.0521 13.0521 4.6337 90.00 90.00 159.27
Last column: nearest neighbours and their distance in Å.
Positions (direct):
Gd  0.6864  0.3136  0.0000  2 Sn 3.28, 8 Pb 3.31-3.60
Gd  0.3136  0.6864  0.0000  2 Sn 3.28, 8 Pb 3.31-3.60
Pb  0.9044  0.0956  0.0000  6 Sn 3.30-3.38, 2 Gd 3.31, 2 Tb 3.40, 2 Pb 3.66
Pb  0.0956  0.9044  0.0000  6 Sn 3.30-3.38, 2 Gd 3.31, 2 Tb 3.40, 2 Pb 3.66
Pb  0.7938  0.2062  0.5000  2 Pb 3.25, 6 Gd 3.34-3.60
Pb  0.2062  0.7938  0.5000  2 Pb 3.25, 6 Gd 3.34-3.60
Sn  0.0000  0.0000  0.5000  4 Tb 3.30, 4 Pb 3.38, 4 Sn 3.40
Sn  0.5960  0.4040  0.5000  2 Gd 3.28, 4 Pb 3.30, 2 Tb 3.38, 2 Sn 3.40
Sn  0.4040  0.5960  0.5000  2 Gd 3.28, 4 Pb 3.30, 2 Tb 3.38, 2 Sn 3.40
Tb  0.5000  0.5000  0.0000  8 Sn 3.30-3.38, 4 Pb 3.40



Record 3
DFT (PBE-GGA) results for a relaxed SrAl2Co crystal.

Computed properties:
Space-group type: F-43m (216)
Raw total energy, eV/atom: -3.796
ρ, kg/m3: 4413

Lattice parameters (Å, degrees): 4.7429 4.7429 4.7429 60.00 60.00 60.00
Last column: nearest neighbours and their distance in Å.
Positions (direct):
Al  0.0000  0.0000  0.0000  4 Co 2.90, 4 Al 2.90
Al  0.7500  0.7500  0.7500  4 Sr 2.90, 4 Al 2.90
Co  0.2500  0.2500  0.2500  4 Al 2.90, 4 Sr 2.90
Sr  0.5000  0.5000  0.5000  4 Al 2.90, 4 Co 2.90



Record 4
DFT (PBE-GGA) results for a relaxed Zr2In3Mo4N3 crystal.

Computed properties:
Space-group type: C2/c (15)
Raw total energy, eV/atom: -8.212
ρ, kg/m3: 8440

Lattice parameters (Å, degrees): 5.5917 5.5917 14.1915 101.18 101.18 60.09
Last column: nearest neighbours and their distance in Å.
Positions (direct):
In  0.7999  0.5804  0.2474  4 Mo 3.00-3.01, 4 In 3.02, 2 Zr 3.04-3.07
In  0.0356  0.9644  0.2500  4 Mo 2.98, 4 In 3.02, 2 Zr 3.03
In  0.4196  0.2001  0.2526  4 Mo 3.00-3.01, 4 In 3.02, 2 Zr 3.04-3.07
In  0.5804  0.7999  0.7474  4 Mo 3.00-3.01, 4 In 3.02, 2 Zr 3.04-3.07
In  0.9644  0.0356  0.7500  4 Mo 2.98, 4 In 3.02, 2 Zr 3.03
In  0.2001  0.4196  0.7526  4 Mo 3.00-3.01, 4 In 3.02, 2 Zr 3.04-3.07
Mo  0.0388  0.1788  0.0739  3 N 2.12-2.17
Mo  0.6900  0.8724  0.0741  3 N 2.12-2.17
Mo  0.1276  0.3100  0.4259  3 N 2.12-2.17
Mo  0.8212  0.9612  0.4261  3 N 2.12-2.17
Mo  0.1788  0.0388  0.5739  3 N 2.12-2.17
Mo  0.8724  0.6900  0.5741  3 N 2.12-2.17
Mo  0.3100  0.1276  0.9259  3 N 2.12-2.17
Mo  0.9612  0.8212  0.9261  3 N 2.12-2.17
N  0.0000  0.5000  0.0000  4 Mo 2.15-2.17, 2 Zr 2.23
N  0.3405  0.8178  0.0002  4 Mo 2.12-2.17, 2 Zr 2.24
N  0.1822  0.6595  0.4998  4 Mo 2.12-2.17, 2 Zr 2.24
N  0.5000  0.0000  0.5000  4 Mo 2.15-2.17, 2 Zr 2.23
N  0.8178  0.3405  0.5002  4 Mo 2.12-2.17, 2 Zr 2.24
N  0.6595  0.1822  0.9998  4 Mo 2.12-2.17, 2 Zr 2.24
Zr  0.3555  0.5289  0.0935  3 N 2.23-2.24
Zr  0.4711  0.6445  0.4065  3 N 2.23-2.24
Zr  0.5289  0.3555  0.5935  3 N 2.23-2.24
Zr  0.6445  0.4711  0.9065  3 N 2.23-2.24



Record 5
DFT (PBE-GGA) results for a relaxed PrSmCuTe3 crystal.

Computed properties:
Space-group type: Cmcm (63)
Raw total energy, eV/atom: -4.833
ρ, kg/m3: 6978

Lattice parameters (Å, degrees): 7.4599 7.4599 11.6534 90.00 90.00 147.22
Last column: nearest neighbours and their distance in Å.
Positions (direct):
Cu  0.4677  0.5323  0.2500  4 Te 2.65-2.74
Cu  0.5323  0.4677  0.7500  4 Te 2.65-2.74
Pr  0.0000  0.0000  0.0000  6 Te 3.17-3.19
Pr  0.0000  0.0000  0.5000  6 Te 3.17-3.19
Sm  0.7667  0.2333  0.2500  6 Te 3.13-3.28
Sm  0.2333  0.7667  0.7500  6 Te 3.13-3.28
Te  0.3471  0.6529  0.0772  1 Cu 2.65
Te  0.0907  0.9093  0.2500  2 Cu 2.74
Te  0.3471  0.6529  0.4228  1 Cu 2.65
Te  0.6529  0.3471  0.5772  1 Cu 2.65
Te  0.9093  0.0907  0.7500  2 Cu 2.74
Te  0.6529  0.3471  0.9228  1 Cu 2.65



Record 6
DFT (PBE-GGA) results for a relaxed NdPdO3 crystal.

Computed properties:
Space-group type: R-3 (148)
Raw total energy, eV/atom: -6.616
ρ, kg/m3: 7170

Lattice parameters (Å, degrees): 5.7341 5.7341 5.8793 60.81 60.81 60.00
Last column: nearest neighbours and their distance in Å.
Positions (direct):
Nd  0.6296  0.6296  0.1113  6 O 2.28-2.49
Nd  0.3704  0.3704  0.8887  6 O 2.28-2.49
O  0.5515  0.2158  0.2662  2 Pd 2.12-2.16, 1 Nd 2.28
O  0.9664  0.5515  0.2662  2 Pd 2.12-2.16, 1 Nd 2.28
O  0.2158  0.9664  0.2662  2 Pd 2.12-2.16, 1 Nd 2.28
O  0.7842  0.0336  0.7338  2 Pd 2.12-2.16, 1 Nd 2.28
O  0.0336  0.4485  0.7338  2 Pd 2.12-2.16, 1 Nd 2.28
O  0.4485  0.7842  0.7338  2 Pd 2.12-2.16, 1 Nd 2.28
Pd  0.8442  0.8442  0.4675  6 O 2.12-2.16
Pd  0.1558  0.1558  0.5325  6 O 2.12-2.16



Record 7
DFT (PBE-GGA) results for a relaxed Ba2YTcN6 crystal.

Computed properties:
Space-group type: P-1 (2)
Energy above the lowest structure with this stoichiometry, eV/atom: 0.1018
Raw total energy, eV/atom: -7.094
ρ, kg/m3: 5756

Lattice parameters (Å, degrees): 6.0460 6.0547 6.0579 60.29 60.09 60.12
Last column: nearest neighbours and their distance in Å.
Positions (direct):
Ba  0.7507  0.2503  0.2486  12 N 2.89-3.20
Ba  0.2493  0.7497  0.7514  12 N 2.89-3.20
N  0.2719  0.2551  0.2050  1 Tc 1.97
N  0.2533  0.7864  0.2403  1 Tc 1.98
N  0.7166  0.7789  0.2437  1 Tc 1.98
N  0.2834  0.2211  0.7563  1 Tc 1.98
N  0.7467  0.2136  0.7597  1 Tc 1.98
N  0.7281  0.7449  0.7950  1 Tc 1.97
Tc  0.5000  0.0000  0.0000  6 N 1.97-1.98
Y  0.0000  0.5000  0.5000  6 N 2.32



Record 8
DFT (PBE-GGA) results for a relaxed Mg3Sc2TlAg2 crystal.

Computed properties:
Space-group type: P-4m2 (115)
Raw total energy, eV/atom: -3.374
ρ, kg/m3: 5888

Lattice parameters (Å, degrees): 4.8883 4.8883 6.8797 90.00 90.00 90.00
Last column: nearest neighbours and their distance in Å.
Positions (direct):
Ag  0.5000  0.5000  0.0000  4 Sc 2.98, 4 Mg 3.01
Ag  0.0000  0.0000  0.5000  4 Mg 2.97, 4 Sc 3.00
Mg  0.5000  0.0000  0.2552  2 Mg 2.97, 4 Ag 2.97-3.01, 2 Tl 3.01
Mg  0.5000  0.5000  0.5000  4 Mg 2.97, 4 Sc 3.00
Mg  0.0000  0.5000  0.7448  2 Mg 2.97, 4 Ag 2.97-3.01, 2 Tl 3.01
Sc  0.0000  0.5000  0.2471  2 Tl 2.98, 4 Ag 2.98-3.00, 2 Mg 3.00
Sc  0.5000  0.0000  0.7529  2 Tl 2.98, 4 Ag 2.98-3.00, 2 Mg 3.00
Tl  0.0000  0.0000  0.0000  4 Sc 2.98, 4 Mg 3.01



Record 9
DFT (PBE-GGA) results for a relaxed MgTlGaNi crystal.

Computed properties:
Space-group type: F-43m (216)
Energy above the lowest structure with this stoichiometry, eV/atom: 0.0536
Raw total energy, eV/atom: -2.961
ρ, kg/m3: 8012

Lattice parameters (Å, degrees): 4.7127 4.7127 4.7127 60.00 60.00 60.00
Last column: nearest neighbours and their distance in Å.
Positions (direct):
Ga  0.0000  0.0000  0.0000  4 Mg 2.89, 4 Tl 2.89
Mg  0.7500  0.7500  0.7500  4 Ga 2.89, 4 Ni 2.89
Ni  0.5000  0.5000  0.5000  4 Tl 2.89, 4 Mg 2.89
Tl  0.2500  0.2500  0.2500  4 Ni 2.89, 4 Ga 2.89



Record 10
DFT (PBE-GGA) results for a relaxed LiFeSiNi crystal.

Computed properties:
Space-group type: F-43m (216)
Energy above the lowest structure with this stoichiometry, eV/atom: 0.1565
Raw total energy, eV/atom: -5.494
ρ, kg/m3: 5787

Lattice parameters (Å, degrees): 3.9298 3.9298 3.9298 60.00 60.00 60.00
Last column: nearest neighbours and their distance in Å.
Positions (direct):
Fe  0.2500  0.2500  0.2500  4 Ni 2.41, 4 Si 2.41
Li  0.7500  0.7500  0.7500  4 Ni 2.41, 4 Si 2.41
Ni  0.5000  0.5000  0.5000  4 Fe 2.41, 4 Li 2.41
Si  0.0000  0.0000  0.0000  4 Fe 2.41, 4 Li 2.41



Record 11
DFT (PBE-GGA) results for a relaxed BaZnSiO4 crystal.

Computed properties:
Space-group type: Cm (8)
Raw total energy, eV/atom: -6.522
ρ, kg/m3: 4577

Lattice parameters (Å, degrees): 5.3164 5.3164 5.0828 118.10 118.10 63.38
Last column: nearest neighbours and their distance in Å.
Positions (direct):
Ba  0.9714  0.9714  0.9566  3 O 2.57-2.72
O  0.3028  0.3028  0.1627  1 Si 1.64
O  0.8478  0.3752  0.4943  1 Si 1.64
O  0.3752  0.8478  0.4943  1 Si 1.64
O  0.4891  0.4891  0.7980  1 Si 1.65
Si  0.5025  0.5025  0.4876  4 O 1.64-1.65
Zn  0.2601  0.2601  0.7457  4 O 1.93-1.94



Record 12
DFT (PBE-GGA) results for a relaxed RbMgIrW crystal.

Computed properties:
Space-group type: F-43m (216)
Energy above the lowest structure with this stoichiometry, eV/atom: 0.2951
Raw total energy, eV/atom: -4.610
ρ, kg/m3: 9840

Lattice parameters (Å, degrees): 4.8762 4.8762 4.8762 60.00 60.00 60.00
Last column: nearest neighbours and their distance in Å.
Positions (direct):
Ir  0.2500  0.2500  0.2500  4 Rb 2.99, 4 W 2.99
Mg  0.7500  0.7500  0.7500  4 W 2.99, 4 Rb 2.99
Rb  0.5000  0.5000  0.5000  4 Ir 2.99, 4 Mg 2.99
W  0.0000  0.0000  0.0000  4 Ir 2.99, 4 Mg 2.99